(1)
Li2CuIr | Alexandria | PBE | optimized geometry; distance to the lowest polymorph of the same formula = 44 meV/atom
1.0
4.2921 0.0000 0.0000
0.0000 2.4892 0.0050
0.0000 0.8690 4.9745
Li Cu Ir
2 1 1
Direct
0.0000 0.0820 0.9991
0.5000 0.2437 0.2434
0.0000 0.4048 0.5175
0.5000 0.7695 0.7401

---

(2)
Li2CuIr | Alexandria | PBE | optimized geometry; distance to the lowest polymorph of the same formula = 64 meV/atom
1.0
-1.2679 -0.9109 1.9407
-2.9168 -1.4478 -2.5852
2.6049 -4.5082 -0.4142
Li Cu Ir
2 1 1
Direct
0.5000 0.5000 0.2517
0.0000 0.0000 0.9884
0.0000 0.0000 0.5163
0.5000 0.5000 0.7437

---

(3)
LiCuIr | Alexandria | PBE | optimized geometry; distance to the lowest polymorph of the same formula = 212 meV/atom
1.0
-4.6488 1.8026 3.7935
-6.0466 -0.7057 1.4806
5.7941 -1.8891 -1.4530
Li Ir Cu
1 1 1
Direct
0.6683 0.6683 0.0000
0.3351 0.3351 0.0000
0.9966 0.9966 0.0000

---

(4)
Li2CuIr | Alexandria | PBE | optimized geometry; distance to the lowest polymorph of the same formula = 430 meV/atom
1.0
-6.2896 -0.0978 1.8919
-1.8322 -1.3544 -6.1609
-3.8785 -3.1590 -1.6539
Li Ir Cu
4 2 2
Direct
0.1388 0.6250 0.2500
0.8750 0.8612 0.7500
0.6112 0.1250 0.2500
0.3750 0.3888 0.7500
0.0000 0.0000 0.0000
0.7500 0.2500 0.5000
0.2500 0.7500 0.5000
0.5000 0.5000 0.0000

---

(5)
LiCuIr | Alexandria | PBE | optimized geometry; distance to the lowest polymorph of the same formula = 676 meV/atom
1.0
4.0169 0.0000 0.0000
2.0085 3.4788 0.0000
2.0085 1.1596 3.2798
Cu Ir Li
1 1 1
Direct
0.2500 0.2500 0.2500
0.0000 0.0000 0.0000
0.5000 0.5000 0.5000

---

(6)
VASP calculation (PBE) on a relaxed Li7Cu3Ir crystal.

Structure (POSCAR):
```
Li7Cu3Ir
1.0
-5.3559 1.4238 -3.2723
-0.9353 -5.2105 -0.7363
-1.9677 2.4865 4.3026
Li Cu Ir
7 3 1
Direct
0.4715 0.3255 0.1627
0.4715 0.8373 0.6745
0.1007 0.1721 0.8279
0.1007 0.6557 0.8279
0.1180 0.6667 0.3333
0.4715 0.8373 0.1627
0.1007 0.1721 0.3443
0.7764 0.5008 0.0016
0.7764 0.9984 0.4992
0.7764 0.5008 0.4992
0.4513 0.3333 0.6667
```

---

(7)
LiCu2Ir2 | Alexandria | PBE | optimized geometry; distance to the lowest polymorph of the same formula = 0 meV/atom
1.0
-4.1397 0.5121 -6.2001
6.1788 -0.5297 -4.1692
-0.2566 -2.6310 -0.0460
Ir Cu Li
4 4 2
Direct
0.3758 0.8758 0.0000
0.8758 0.6242 0.0000
0.6242 0.1242 0.0000
0.1242 0.3758 0.0000
0.8254 0.3254 0.5000
0.6746 0.8254 0.5000
0.1746 0.6746 0.5000
0.3254 0.1746 0.5000
0.5000 0.5000 0.0000
0.0000 0.0000 0.0000

---

(8)
Li2CuIr | Alexandria | PBE | optimized geometry; distance to the lowest polymorph of the same formula = 7 meV/atom
1.0
5.0597 0.0167 -0.0249
-2.3633 4.4738 -0.0249
0.5455 0.9084 2.3019
Ir Li Cu
1 2 1
Direct
0.0000 0.5000 0.5000
0.0000 0.0000 0.0000
0.5000 0.5000 0.0000
0.5000 0.0000 0.5000

---

(9)
Li3CuIr | Alexandria | PBE | optimized geometry; distance to the lowest polymorph of the same formula = 537 meV/atom
1.0
-0.8442 -2.2201 -3.9481
-3.9167 -1.6595 1.7706
-2.2751 3.6806 -1.5832
Li Cu Ir
3 1 1
Direct
0.0000 0.5000 0.0000
0.0000 0.0000 0.5000
0.5000 0.0000 0.0000
0.5000 0.5000 0.5000
0.0000 0.0000 0.0000

---

(10)
LiCuIr | Alexandria | PBE | optimized geometry; distance to the lowest polymorph of the same formula = 135 meV/atom
1.0
4.2313 0.0000 0.0000
-2.1156 3.6644 0.0000
0.0000 0.0000 2.5006
Li Cu Ir
1 1 1
Direct
0.3333 0.6667 0.8226
0.0000 0.0000 0.8421
0.6667 0.3333 0.3353

---

(11)
Li4CuIr | Alexandria | PBE | optimized geometry; distance to the lowest polymorph of the same formula = 0 meV/atom
1.0
0.6078 0.0775 4.5397
-0.7934 -4.0913 -1.9634
4.1666 -2.2291 0.5691
Li Ir Cu
4 1 1
Direct
0.1595 0.3440 0.9998
0.6617 0.8413 0.5005
0.3354 0.1642 0.5017
0.8371 0.6620 0.0024
0.9980 0.5024 0.5015
0.4971 0.0024 0.0019

---

(12)
VASP calculation (PBE) on a relaxed LiCuIr2 crystal.

Structure (POSCAR):
```
LiCuIr2
1.0
3.8817 0.0000 0.0000
0.0000 3.7117 0.0000
0.0000 0.0000 3.7117
Ir Li Cu
2 1 1
Direct
0.0000 0.0000 0.0000
0.0000 0.5000 0.5000
0.5000 0.5000 0.0000
0.5000 0.0000 0.5000
```

---

Number 1: energy relative to the elements -0.07 eV/atom. Number 2: energy relative to the elements -0.05 eV/atom. Number 3: energy relative to the elements 0.06 eV/atom. Number 4: energy relative to the elements 0.31 eV/atom. Number 5: energy relative to the elements 0.53 eV/atom. Number 6: energy relative to the elements 0.05 eV/atom. Number 7: energy relative to the elements 0.18 eV/atom. Number 8: energy relative to the elements -0.11 eV/atom. Number 9: energy relative to the elements 0.67 eV/atom. Number 10: energy relative to the elements -0.01 eV/atom. Number 11: energy relative to the elements -0.08 eV/atom. Number 12: energy relative to the elements 0.11 eV/atom.